Entry 1:
The following is a DFT calculation (GGA-PBEsol) of a relaxed structure of BaAg2Se2.

Lattice parameters (Å, degrees): 4.1623 4.1623 7.5001 106.11 106.11 90.00
Positions (direct):
Se 0.3782 0.3782 0.7564
Se 0.6218 0.6218 0.2436
Ba 0.0000 0.0000 0.0000
Ag 0.2500 0.7500 0.5000
Ag 0.7500 0.2500 0.5000

## Properties
ΔE_f (raw) = -859 meV/atom
total DFT energy (no corrections) = -4.154 eV per atom
symmetry = I4/mmm

***

Entry 2:
The following is a DFT calculation (GGA-PBEsol) of a relaxed structure of BaAgSe2.

Lattice parameters (Å, degrees): 5.2310 5.2310 7.6578 70.03 70.03 60.00
Positions (direct):
Se 0.8871 0.8871 0.3387
Se 0.1129 0.1129 0.6613
Ba 0.5000 0.5000 0.5000
Ag 0.0000 0.0000 0.0000

## Properties
ΔE_f (raw) = -654 meV/atom
total DFT energy (no corrections) = -3.945 eV per atom
symmetry = R-3m

***

Entry 3:
The following is a DFT calculation (GGA-PBEsol) of a relaxed structure of BaAg4Se.

Lattice parameters (Å, degrees): 5.6635 5.6635 5.6635 60.00 60.00 60.00
Positions (direct):
Ag 0.3743 0.3743 0.3743
Ag 0.3743 0.3743 0.8771
Ag 0.8771 0.3743 0.3743
Ag 0.3743 0.8771 0.3743
Ba 0.7500 0.7500 0.7500
Se 0.0000 0.0000 0.0000

## Properties
ΔE_f (raw) = -289 meV/atom
total DFT energy (no corrections) = -3.496 eV per atom
symmetry = F-43m

***

Entry 4:
The following is a DFT calculation (GGA-PBEsol) of a relaxed structure of Ba2AgSe.

Lattice parameters (Å, degrees): 4.0138 4.0138 7.8665 90.00 90.00 90.00
Positions (direct):
Ag 0.5000 0.5000 0.0000
Ba 0.0000 0.0000 0.2619
Ba 0.0000 0.0000 0.7381
Se 0.5000 0.5000 0.5000

## Properties
ΔE_f (raw) = -983 meV/atom
total DFT energy (no corrections) = -3.848 eV per atom
symmetry = P4/mmm

***

Entry 5:
The following is a DFT calculation (GGA-PBEsol) of a relaxed structure of BaAg2SnSe4.

Lattice parameters (Å, degrees): 6.6038 6.6038 6.6038 78.45 68.25 115.42
Positions (direct):
Se 0.5942 0.1168 0.8760
Se 0.9927 0.4702 0.1240
Se 0.4058 0.5298 0.4775
Se 0.0073 0.8832 0.5225
Ba 0.0000 0.0000 0.0000
Ag 0.5000 0.8221 0.6779
Ag 0.5000 0.1779 0.3221
Sn 0.0000 0.5000 0.5000

## Properties
ΔE_f (raw) = -699 meV/atom
total DFT energy (no corrections) = -4.253 eV per atom
symmetry = I222

***

Entry 6:
The following is a DFT calculation (GGA-PBEsol) of a relaxed structure of BaYAgSe3.

Lattice parameters (Å, degrees): 4.2157 7.3237 10.5849 90.00 90.00 106.73
Positions (direct):
Ba 0.7513 0.5025 0.2500
Ba 0.2487 0.4975 0.7500
Y 0.0000 0.0000 0.5000
Y 0.0000 0.0000 0.0000
Ag 0.4690 0.9381 0.2500
Ag 0.5310 0.0619 0.7500
Se 0.6372 0.2744 0.9504
Se 0.3628 0.7256 0.0496
Se 0.3628 0.7256 0.4504
Se 0.9210 0.8420 0.7500
Se 0.0790 0.1580 0.2500
Se 0.6372 0.2744 0.5496

## Properties
ΔE_f (raw) = -1568 meV/atom
total DFT energy (no corrections) = -5.540 eV per atom
symmetry = Cmcm

***

Entry 7:
The following is a DFT calculation (GGA-PBEsol) of a relaxed structure of Ba2ZnAgSe.

Lattice parameters (Å, degrees): 4.7936 6.1649 6.1649 90.00 90.00 90.00
Positions (direct):
Zn 0.5000 0.0000 0.0000
Se 0.0000 0.0000 0.0000
Ba 0.0000 0.0000 0.5000
Ba 0.0000 0.5000 0.0000
Ag 0.5000 0.5000 0.5000

## Properties
ΔE_f (raw) = -348 meV/atom
total DFT energy (no corrections) = -2.956 eV per atom
symmetry = P4/mmm

***

Entry 8:
The following is a DFT calculation (GGA-PBEsol) of a relaxed structure of Ba2SiAg.

Lattice parameters (Å, degrees): 3.8553 5.7086 5.7364 90.00 90.00 90.00
Positions (direct):
Ag 0.5000 0.5000 0.1460
Ba 0.0000 0.0000 0.1133
Ba 0.0000 0.5000 0.6342
Si 0.5000 0.0000 0.6065

## Properties
ΔE_f (raw) = -167 meV/atom
total DFT energy (no corrections) = -3.506 eV per atom
symmetry = Pmm2

***

Entry 9:
The following is a DFT calculation (GGA-PBEsol) of a relaxed structure of Ba2SiAg.

Lattice parameters (Å, degrees): 4.6219 5.0821 6.1045 114.60 90.00 90.00
Positions (direct):
Si 0.0000 0.5796 0.1591
Ba 0.5000 0.9774 0.9548
Ba 0.0000 0.2744 0.5489
Ag 0.5000 0.6686 0.3371

## Properties
ΔE_f (raw) = -279 meV/atom
total DFT energy (no corrections) = -3.618 eV per atom
symmetry = Amm2

***

Entry 10:
The following is a DFT calculation (GGA-PBEsol) of a relaxed structure of Ba2Si3Ag.

Lattice parameters (Å, degrees): 8.5324 8.5404 10.6939 78.50 66.49 60.03
Positions (direct):
Ba 0.6256 0.5000 0.7488
Ba 0.8756 0.0000 0.2488
Ba 0.1244 0.0000 0.7512
Ba 0.8744 0.5000 0.2512
Ba 0.6244 0.0000 0.7511
Ba 0.3756 0.0000 0.2489
Ba 0.1256 0.5000 0.7489
Ba 0.3744 0.5000 0.2511
Si 0.8186 0.8393 0.0049
Si 0.6629 0.1607 0.9951
Si 0.3421 0.8393 0.9951
Si 0.1764 0.1607 0.0049
Si 0.9314 0.6607 0.4951
Si 0.0871 0.3393 0.5049
Si 0.4079 0.6607 0.5049
Si 0.4110 0.1781 0.5000
Si 0.6610 0.6781 0.0000
Si 0.3390 0.3219 0.0000
Si 0.0890 0.8219 0.5000
Si 0.5736 0.3393 0.4951
Ag 0.5830 0.8339 0.5000
Ag 0.1670 0.6661 0.0000
Ag 0.9170 0.1661 0.5000
Ag 0.8330 0.3339 0.0000

## Properties
ΔE_f (raw) = -473 meV/atom
total DFT energy (no corrections) = -4.614 eV per atom
symmetry = Fddd

***

Entry 11:
The following is a DFT calculation (GGA-PBEsol) of a relaxed structure of BaAg2Sn2.

Lattice parameters (Å, degrees): 4.7740 4.7740 6.6155 111.15 111.15 90.00
Positions (direct):
Ba 0.0000 0.0000 0.0000
Ag 0.2500 0.7500 0.5000
Ag 0.7500 0.2500 0.5000
Sn 0.3741 0.3741 0.7482
Sn 0.6259 0.6259 0.2518

## Properties
total DFT energy (no corrections) = -3.879 eV per atom
symmetry = I4/mmm

***

Entry 12:
The following is a DFT calculation (GGA-PBEsol) of a relaxed structure of BaSrAg.

Lattice parameters (Å, degrees): 5.5597 5.5597 5.5597 60.00 60.00 60.00
Positions (direct):
Sr 0.5000 0.5000 0.5000
Ba 0.0000 0.0000 0.0000
Ag 0.2500 0.2500 0.2500

## Properties
total DFT energy (no corrections) = -2.510 eV per atom
symmetry = F-43m
relative energy among the computed polymorphs = 65 meV/atom